## LaHo6In3 (PBE)

Data for a relaxed structure of LaHo6In3.

Summary:
density of states at the Fermi level: 1.39 states/eV per atom
calculated volume: 31.0 A^3/atom
energy of formation: -1.9 eV/f.u.
crystal system: orthorhombic
raw total energy: -169.95 eV/cell

Cell: 11.3023 12.6924 8.6507 Å, 90.00 90.00 90.00°
Space group Cmc2_1 (No. 36)
Symmetry-distinct sites (fractional):
La 0.0000 0.1843 0.0000 x4
Ho 0.0000 0.2664 0.5671 x4
Ho 0.0000 0.4721 0.1892 x4
Ho 0.1728 0.0660 0.6527 x8
Ho 0.2430 0.3227 0.7997 x8
In 0.0000 0.0712 0.3538 x4
In 0.1931 0.4120 0.4526 x8